No. 1
Material: ZnCo3Tc
Method: DFT, PBE
State: optimized geometry

Geometry as POSCAR:
```
ZnCo3Tc
1.0
4.2329 0.0000 0.0000
0.0000 4.2329 0.0000
0.0000 0.0000 4.2329
Zn Co Tc
1 3 1
direct
0.0000 0.0000 0.0000 Zn
0.0000 0.0000 0.5000 Co
0.0000 0.5000 0.0000 Co
0.5000 0.0000 0.0000 Co
0.5000 0.5000 0.5000 Tc
```

Values from the calculation:
space group	No. 221
size of the total moment	6.4	μB per cell
final energy	-5.189	eV/atom
energy of formation	1.40	eV/atom


No. 2
Material: ZnCo4Tc
Method: DFT, PBE
State: optimized geometry

Geometry as POSCAR:
```
ZnCo4Tc
1.0
0.0000 3.3303 3.3303
3.3303 0.0000 3.3303
3.3303 3.3303 0.0000
Zn Co Tc
1 4 1
direct
0.0000 0.0000 0.0000 Zn
0.1250 0.6250 0.6250 Co
0.6250 0.1250 0.6250 Co
0.6250 0.6250 0.1250 Co
0.6250 0.6250 0.6250 Co
0.2500 0.2500 0.2500 Tc
```

Values from the calculation:
space group	No. 216
size of the total moment	7.8	μB per cell
final energy	-6.515	eV/atom
energy of formation	0.16	eV/atom


No. 3
Material: Zn4CoTc
Method: DFT, PBE
State: optimized geometry

Geometry as POSCAR:
```
Zn4CoTc
1.0
0.0000 3.4551 3.4551
3.4551 0.0000 3.4551
3.4551 3.4551 0.0000
Zn Co Tc
4 1 1
direct
0.1250 0.1250 0.1250 Zn
0.1250 0.1250 0.6249 Zn
0.1250 0.6249 0.1250 Zn
0.6249 0.1250 0.1250 Zn
0.7500 0.7500 0.7500 Co
0.5000 0.5000 0.5000 Tc
```

Values from the calculation:
space group	No. 216
size of the total moment	3.2	μB per cell
final energy	-3.543	eV/atom
energy of formation	0.22	eV/atom


No. 4
Material: ZnCo2Tc2
Method: DFT, PBE
State: optimized geometry

Geometry as POSCAR:
```
ZnCo2Tc2
1.0
7.1321 0.0000 0.0000
0.0000 7.1321 0.0000
0.0000 0.0000 2.6099
Zn Co Tc
2 4 4
direct
0.0000 0.0000 0.0000 Zn
0.5000 0.5000 0.0000 Zn
0.1182 0.3818 0.0000 Co
0.3818 0.8818 0.0000 Co
0.6182 0.1182 0.0000 Co
0.8818 0.6182 0.0000 Co
0.1757 0.6757 0.5000 Tc
0.3243 0.1757 0.5000 Tc
0.6757 0.8243 0.5000 Tc
0.8243 0.3243 0.5000 Tc
```

Values from the calculation:
space group	No. 127
size of the total moment	0.0	μB per cell
final energy	-7.060	eV/atom
energy of formation	0.18	eV/atom


No. 5
Material: ZnCoTc2
Method: DFT, PBE
State: optimized geometry

Geometry as POSCAR:
```
ZnCoTc2
1.0
3.6333 0.0000 0.0000
0.0000 3.6333 0.0000
0.0000 0.0000 4.0571
Zn Co Tc
1 1 2
direct
0.0000 0.0000 0.0000 Zn
0.5000 0.5000 0.0000 Co
0.0000 0.5000 0.5000 Tc
0.5000 0.0000 0.5000 Tc
```

Values from the calculation:
space group	No. 123
size of the total moment	0.7	μB per cell
final energy	-7.091	eV/atom
energy of formation	0.19	eV/atom


No. 6
Material: ZrZn2CoTc
Method: DFT, PBE
State: optimized geometry

Geometry as POSCAR:
```
ZrZn2CoTc
1.0
4.3910 0.0000 0.0000
0.0000 4.3910 0.0000
0.0000 0.0000 4.4901
Zr Zn Co Tc
1 2 1 1
direct
0.0000 0.0000 0.0000 Zr
0.0000 0.5000 0.5000 Zn
0.5000 0.0000 0.5000 Zn
0.5000 0.5000 0.5000 Co
0.5000 0.5000 0.0000 Tc
```

Values from the calculation:
space group	No. 123
size of the total moment	0.0	μB per cell
final energy	-5.261	eV/atom
energy of formation	0.45	eV/atom


No. 7
Material: ZrCoTc2
Method: DFT, PBE
State: optimized geometry

Geometry as POSCAR:
```
ZrCoTc2
1.0
4.3192 0.0000 0.0000
0.0000 4.3192 0.0000
0.0000 0.0000 3.2978
Zr Co Tc
1 1 2
direct
0.0000 0.0000 0.0000 Zr
0.5000 0.5000 0.0000 Co
0.0000 0.5000 0.5000 Tc
0.5000 0.0000 0.5000 Tc
```

Values from the calculation:
offset from the most stable computed form	105	meV/atom
space group	No. 123
size of the total moment	2.2	μB per cell
final energy	-9.017	eV/atom
energy of formation	0.08	eV/atom


No. 8
Material: Zr4CoTc
Method: DFT, PBE
State: optimized geometry

Geometry as POSCAR:
```
Zr4CoTc
1.0
6.2530 0.0000 0.0000
0.0000 6.4994 0.0000
-0.1080 0.0000 6.2736
Zr Co Tc
8 2 2
direct
0.1657 0.1730 0.1770 Zr
0.1657 0.3270 0.6770 Zr
0.3287 0.6606 0.1403 Zr
0.3287 0.8394 0.6403 Zr
0.6713 0.1606 0.3597 Zr
0.6713 0.3394 0.8597 Zr
0.8343 0.6730 0.3230 Zr
0.8343 0.8270 0.8230 Zr
0.0000 0.0000 0.5000 Co
0.0000 0.5000 0.0000 Co
0.5000 0.0000 0.0000 Tc
0.5000 0.5000 0.5000 Tc
```

Values from the calculation:
offset from the most stable computed form	235	meV/atom
space group	No. 14
size of the total moment	0.0	μB per cell
final energy	-8.585	eV/atom
energy of formation	0.03	eV/atom


No. 9
Material: ZrCoTc2
Method: DFT, PBE
State: optimized geometry

Geometry as POSCAR:
```
ZrCoTc2
1.0
1.4006 0.8086 9.1209
-1.4006 0.8086 9.1209
0.0000 -1.6173 9.1209
Zr Co Tc
1 1 2
direct
0.0000 0.0000 0.0000 Zr
0.2472 0.2472 0.2472 Co
0.5050 0.5050 0.5050 Tc
0.7616 0.7616 0.7616 Tc
```

Values from the calculation:
offset from the most stable computed form	255	meV/atom
space group	No. 160
size of the total moment	1.3	μB per cell
final energy	-8.867	eV/atom
energy of formation	0.23	eV/atom


No. 10
Material: Zr6CoTc5
Method: DFT, PBE
State: optimized geometry

Geometry as POSCAR:
```
Zr6CoTc5
1.0
7.3329 -3.2704 0.0000
7.3329 3.2704 0.0000
-1.4612 0.0000 4.4078
Zr Co Tc
6 1 5
direct
0.0836 0.5841 0.3337 Zr
0.2493 0.7507 0.0000 Zr
0.4159 0.9164 0.6663 Zr
0.5841 0.0836 0.3337 Zr
0.7507 0.2493 0.0000 Zr
0.9164 0.4159 0.6663 Zr
0.0000 0.0000 0.5000 Co
0.1653 0.1653 0.1655 Tc
0.3339 0.3339 0.8337 Tc
0.5000 0.5000 0.5000 Tc
0.6661 0.6661 0.1663 Tc
0.8347 0.8347 0.8345 Tc
```

Values from the calculation:
space group	No. 12
size of the total moment	0.0	μB per cell
final energy	-9.548	eV/atom
energy of formation	-0.36	eV/atom


No. 11
Material: ZrCo3Tc
Method: DFT, PBE
State: optimized geometry

Geometry as POSCAR:
```
ZrCo3Tc
1.0
4.3699 0.0000 0.0000
0.0000 4.3699 0.0000
0.0000 0.0000 4.3699
Zr Co Tc
1 3 1
direct
0.0000 0.0000 0.0000 Zr
0.0000 0.5000 0.5000 Co
0.5000 0.0000 0.5000 Co
0.5000 0.5000 0.0000 Co
0.5000 0.5000 0.5000 Tc
```

Values from the calculation:
offset from the most stable computed form	0	meV/atom
space group	No. 221
size of the total moment	0.0	μB per cell
final energy	-7.165	eV/atom
energy of formation	0.88	eV/atom


No. 12
Material: ZrCoTc4
Method: DFT, PBE
State: optimized geometry

Geometry as POSCAR:
```
ZrCoTc4
1.0
0.0000 3.6436 3.6436
3.6436 0.0000 3.6436
3.6436 3.6436 0.0000
Zr Co Tc
1 1 4
direct
0.0000 0.0000 0.0000 Zr
0.2500 0.2500 0.2500 Co
0.1262 0.6246 0.6246 Tc
0.6246 0.1262 0.6246 Tc
0.6246 0.6246 0.1262 Tc
0.6246 0.6246 0.6246 Tc
```

Values from the calculation:
space group	No. 216
size of the total moment	1.6	μB per cell
final energy	-9.376	eV/atom
energy of formation	0.14	eV/atom


No. 13
Material: Zr5Co4Tc
Method: DFT, PBE
State: optimized geometry

Geometry as POSCAR:
```
Zr5Co4Tc
1.0
3.2337 0.0000 0.0000
0.0000 3.2337 0.0000
0.0000 0.0000 15.8973
Zr Co Tc
5 4 1
direct
0.0000 0.0000 0.0000 Zr
0.0000 0.0000 0.1991 Zr
0.0000 0.0000 0.3978 Zr
0.0000 0.0000 0.6022 Zr
0.0000 0.0000 0.8009 Zr
0.5000 0.5000 0.1004 Co
0.5000 0.5000 0.2955 Co
0.5000 0.5000 0.7045 Co
0.5000 0.5000 0.8996 Co
0.5000 0.5000 0.5000 Tc
```

Values from the calculation:
space group	No. 123
size of the total moment	2.1	μB per cell
final energy	-8.465	eV/atom
energy of formation	-0.31	eV/atom


No. 14
Material: ZrCoTc2
Method: DFT, PBE
State: optimized geometry

Geometry as POSCAR:
```
ZrCoTc2
1.0
3.1586 0.0000 0.0000
0.0000 3.1586 0.0000
0.0000 0.0000 6.2345
Zr Co Tc
1 1 2
direct
0.0000 0.0000 0.0000 Zr
0.5000 0.5000 0.2526 Co
0.0000 0.0000 0.4843 Tc
0.5000 0.5000 0.7091 Tc
```

Values from the calculation:
offset from the most stable computed form	0	meV/atom
space group	No. 99
size of the total moment	2.0	μB per cell
final energy	-9.122	eV/atom
energy of formation	-0.03	eV/atom


No. 15
Material: ZrCoTc2
Method: DFT, PBE
State: optimized geometry

Geometry as POSCAR:
```
ZrCoTc2
1.0
-1.5998 2.2209 4.3579
1.5998 -2.2209 4.3579
1.5998 2.2209 -4.3579
Zr Co Tc
1 1 2
direct
0.0000 0.0000 0.0000 Zr
0.2590 0.7590 0.5000 Co
0.5059 0.5059 0.0000 Tc
0.7423 0.2423 0.5000 Tc
```

Values from the calculation:
offset from the most stable computed form	64	meV/atom
space group	No. 44
size of the total moment	1.8	μB per cell
final energy	-9.058	eV/atom
energy of formation	0.04	eV/atom


No. 16
Material: Zr4Co3Tc
Method: DFT, PBE
State: optimized geometry

Geometry as POSCAR:
```
Zr4Co3Tc
1.0
2.2825 1.3178 7.4220
-2.2825 1.3178 7.4220
0.0000 -2.6356 7.4220
Zr Co Tc
4 3 1
direct
0.1240 0.1240 0.1240 Zr
0.3740 0.3740 0.3740 Zr
0.6260 0.6260 0.6260 Zr
0.8760 0.8760 0.8760 Zr
0.0000 0.0000 0.0000 Co
0.2502 0.2502 0.2502 Co
0.7498 0.7498 0.7498 Co
0.5000 0.5000 0.5000 Tc
```

Values from the calculation:
space group	No. 166
size of the total moment	2.2	μB per cell
final energy	-8.550	eV/atom
energy of formation	-0.32	eV/atom


No. 17
Material: ZrCoTc2
Method: DFT, PBE
State: optimized geometry

Geometry as POSCAR:
```
ZrCoTc2
1.0
2.6700 -4.4647 0.0000
2.6700 4.4647 0.0000
-1.0158 0.0000 2.5787
Zr Co Tc
1 1 2
direct
0.0000 0.0000 0.0000 Zr
0.5000 0.5000 0.0000 Co
0.0000 0.5000 0.5000 Tc
0.5000 0.0000 0.5000 Tc
```

Values from the calculation:
offset from the most stable computed form	112	meV/atom
space group	No. 12
size of the total moment	1.6	μB per cell
final energy	-9.010	eV/atom
energy of formation	0.09	eV/atom


No. 18
Material: ZrCoTc2
Method: DFT, PBE
State: optimized geometry

Geometry as POSCAR:
```
ZrCoTc2
1.0
1.3847 0.7995 9.2628
-1.3847 0.7995 9.2628
0.0000 -1.5989 9.2628
Zr Co Tc
1 1 2
direct
0.0000 0.0000 0.0000 Zr
0.5000 0.5000 0.5000 Co
0.2392 0.2392 0.2392 Tc
0.7608 0.7608 0.7608 Tc
```

Values from the calculation:
offset from the most stable computed form	338	meV/atom
space group	No. 166
size of the total moment	1.0	μB per cell
final energy	-8.784	eV/atom
energy of formation	0.31	eV/atom


No. 19
Material: ZrCoTc2
Method: DFT, PBE
State: optimized geometry

Geometry as POSCAR:
```
ZrCoTc2
1.0
-3.7000 3.7000 2.4239
3.7000 -3.7000 2.4239
3.7000 3.7000 -2.4239
Zr Co Tc
2 2 4
direct
0.0000 0.0000 0.0000 Zr
0.7500 0.2500 0.5000 Zr
0.2500 0.7500 0.5000 Co
0.5000 0.5000 0.0000 Co
0.1858 0.6250 0.0608 Tc
0.3750 0.4358 0.5608 Tc
0.5642 0.1250 0.9392 Tc
0.8750 0.8142 0.4392 Tc
```

Values from the calculation:
offset from the most stable computed form	394	meV/atom
space group	No. 122
size of the total moment	0.0	μB per cell
final energy	-8.728	eV/atom
energy of formation	0.37	eV/atom


No. 20
Material: Zr2Co2Tc
Method: DFT, PBE
State: optimized geometry

Geometry as POSCAR:
```
Zr2Co2Tc
1.0
-1.6387 1.6387 7.8413
1.6387 -1.6387 7.8413
1.6387 1.6387 -7.8413
Zr Co Tc
2 2 1
direct
0.1034 0.1034 0.0000 Zr
0.8966 0.8966 0.0000 Zr
0.2500 0.7500 0.5000 Co
0.7500 0.2500 0.5000 Co
0.5000 0.5000 0.0000 Tc
```

Values from the calculation:
offset from the most stable computed form	158	meV/atom
space group	No. 139
size of the total moment	2.5	μB per cell
final energy	-8.353	eV/atom
energy of formation	-0.02	eV/atom


No. 21
Material: Zr4CoTc
Method: DFT, PBE
State: optimized geometry

Geometry as POSCAR:
```
Zr4CoTc
1.0
3.2985 0.0000 0.0000
0.0000 3.2985 0.0000
0.0000 0.0000 10.4323
Zr Co Tc
4 1 1
direct
0.0000 0.0000 0.1464 Zr
0.0000 0.0000 0.8536 Zr
0.5000 0.5000 0.3464 Zr
0.5000 0.5000 0.6536 Zr
0.5000 0.5000 0.0000 Co
0.0000 0.0000 0.5000 Tc
```

Values from the calculation:
offset from the most stable computed form	0	meV/atom
space group	No. 123
size of the total moment	0.0	μB per cell
final energy	-8.821	eV/atom
energy of formation	-0.21	eV/atom


No. 22
Material: ZrCoTc2
Method: DFT, PBE
State: optimized geometry

Geometry as POSCAR:
```
ZrCoTc2
1.0
0.0000 3.1376 3.1376
3.1376 0.0000 3.1376
3.1376 3.1376 0.0000
Zr Co Tc
1 1 2
direct
0.0000 0.0000 0.0000 Zr
0.5000 0.5000 0.5000 Co
0.2500 0.2500 0.2500 Tc
0.7500 0.7500 0.7500 Tc
```

Values from the calculation:
offset from the most stable computed form	160	meV/atom
space group	No. 225
size of the total moment	3.2	μB per cell
final energy	-8.962	eV/atom
energy of formation	0.13	eV/atom


No. 23
Material: Zr6Co2Tc
Method: DFT, PBE
State: optimized geometry

Geometry as POSCAR:
```
Zr6Co2Tc
1.0
-4.3599 4.3912 4.5117
4.3599 -4.3912 4.5117
4.3599 4.3912 -4.5117
Zr Co Tc
12 4 2
direct
0.0496 0.2398 0.8098 Zr
0.1824 0.2859 0.4683 Zr
0.1824 0.7141 0.8965 Zr
0.3271 0.0295 0.7023 Zr
0.3271 0.6248 0.2977 Zr
0.4300 0.2398 0.1902 Zr
0.5700 0.7602 0.8098 Zr
0.6729 0.3752 0.7023 Zr
0.6729 0.9705 0.2977 Zr
0.8176 0.2859 0.1035 Zr
0.8176 0.7141 0.5317 Zr
0.9504 0.7602 0.1902 Zr
0.1319 0.6319 0.5000 Co
0.3497 0.0000 0.3497 Co
0.6503 0.0000 0.6503 Co
0.8681 0.3681 0.5000 Co
0.0000 0.0000 0.0000 Tc
0.5000 0.5000 0.0000 Tc
```

Values from the calculation:
space group	No. 71
size of the total moment	0.0	μB per cell
final energy	-8.671	eV/atom
energy of formation	-0.24	eV/atom


No. 24
Material: Zr2Co3Tc
Method: DFT, PBE
State: optimized geometry

Geometry as POSCAR:
```
Zr2Co3Tc
1.0
2.5030 1.4451 4.0569
-2.5030 1.4451 4.0569
0.0000 -2.8902 4.0569
Zr Co Tc
2 3 1
direct
0.1258 0.1258 0.1258 Zr
0.8742 0.8742 0.8742 Zr
0.0000 0.5000 0.5000 Co
0.5000 0.0000 0.5000 Co
0.5000 0.5000 0.0000 Co
0.5000 0.5000 0.5000 Tc
```

Values from the calculation:
space group	No. 166
size of the total moment	0.8	μB per cell
final energy	-8.418	eV/atom
energy of formation	-0.29	eV/atom


No. 25
Material: ZrCoTc2
Method: DFT, PBE
State: optimized geometry

Geometry as POSCAR:
```
ZrCoTc2
1.0
3.7404 0.0000 0.0000
0.0000 3.7404 0.0000
0.0000 0.0000 4.3704
Zr Co Tc
1 1 2
direct
0.0000 0.0000 0.0000 Zr
0.5000 0.5000 0.0000 Co
0.0000 0.5000 0.5000 Tc
0.5000 0.0000 0.5000 Tc
```

Values from the calculation:
offset from the most stable computed form	52	meV/atom
space group	No. 123
size of the total moment	0.0	μB per cell
final energy	-9.070	eV/atom
energy of formation	0.03	eV/atom


No. 26
Material: Zr4CoTc2
Method: DFT, PBE
State: optimized geometry

Geometry as POSCAR:
```
Zr4CoTc2
1.0
2.2821 1.3175 7.4802
-2.2821 1.3175 7.4802
0.0000 -2.6351 7.4802
Zr Co Tc
4 1 2
direct
0.1231 0.1231 0.1231 Zr
0.3737 0.3737 0.3737 Zr
0.6263 0.6263 0.6263 Zr
0.8769 0.8769 0.8769 Zr
0.5000 0.5000 0.5000 Co
0.2483 0.2483 0.2483 Tc
0.7517 0.7517 0.7517 Tc
```

Values from the calculation:
space group	No. 166
size of the total moment	0.0	μB per cell
final energy	-9.067	eV/atom
energy of formation	-0.21	eV/atom